# Er2AlCo3Ni12

A relaxed structure of Er2AlCo3Ni12 (PBE-GGA, the Alexandria database).

a b c (Å): 8.2212 8.2212 11.9808
angles (deg): 90.00 90.00 120.00
Space group R-3m (No. 166, hexagonal axes)
One atom of each set of equivalent atoms:
Er 0.0000 0.0000 0.2236 x6
Al 0.0000 0.0000 0.5000 x3
Co 0.0000 0.5000 0.0000 x9
Ni 0.0172 0.5086 0.2076 x18
Ni 0.0422 0.5211 0.6024 x18

E	-5.776	eV per atom
Fermi-level density of states	25.26	states/eV/f.u.
ΔH_f (0 K)	-0.02	eV per atom
crystal system	trigonal